DFT (PBE) results for a relaxed LaBe3Fe crystal.

* calculated formation energy: 0.4 eV per formula unit
* space-group type: Pm-3m, No. 221

a = 4.229 Å, b = 4.229 Å, c = 4.229 Å
α = 90.00°, β = 90.00°, γ = 90.00°
Element x y z (fractional)
Be: 0.000 0.500 0.000
Be: 0.000 0.000 0.500
Be: 0.500 0.000 0.000
Fe: 0.000 0.000 0.000
La: 0.500 0.500 0.500